[1]
RbMgCd2Ag, relaxed, DFT GGA-PBE; formation energy = 0.05 eV per atom; N(E_F) = 2.54 states/eV/cell; ρ = 4.6 g cm⁻³; DFT total energy = -1.401 eV per atom; total moment = 0.00 μB per atom
1.0
-1.909 5.091 -0.622
-2.761 -1.580 -4.453
-4.184 -1.200 3.020
Ag Mg Rb Cd
1 1 1 2
direct
0.000 0.000 0.000
0.000 0.000 0.500
0.500 0.500 0.500
0.000 0.500 0.000
0.500 0.000 0.000


[2]
CsPrTe2, relaxed, DFT GGA-PBE; ρ = 5.1 g cm⁻³; DFT total energy = -4.385 eV per atom; total moment = 0.00 μB per atom; uncorrected formation energy = -1405 meV/atom
1.0
4.689 0.000 0.000
2.345 4.061 0.000
2.345 1.354 9.064
Pr Te Cs
1 2 1
direct
0.667 0.667 0.998
0.066 0.066 0.803
0.269 0.269 0.194
0.498 0.498 0.505